The following is a DFT calculation (GGA-PBE) of an optimized crystal structure of Cu5NiPd4.

POSCAR file:
```
Cu5NiPd4
1.0
2.975 0.000 0.000
0.000 2.975 0.000
0.000 0.000 15.008
Cu Ni Pd
5 1 4
direct
0.000 0.000 0.000
0.000 0.000 0.206
0.000 0.000 0.413
0.000 0.000 0.587
0.000 0.000 0.794
0.500 0.500 0.500
0.500 0.500 0.103
0.500 0.500 0.310
0.500 0.500 0.690
0.500 0.500 0.897
```

Properties
relative energy among the computed polymorphs	0.000	eV/atom
total moment	0.5	μB per formula unit
calculated volume	133	Å³/cell

=====

The following is a DFT calculation (GGA-PBE) of an optimized crystal structure of KMg2Te2.

POSCAR file:
```
KMg2Te2
1.0
8.450 0.000 0.000
0.000 8.450 0.000
0.000 0.000 3.962
K Mg Te
2 4 4
direct
0.000 0.000 0.000
0.500 0.500 0.000
0.124 0.376 0.000
0.376 0.876 0.000
0.624 0.124 0.000
0.876 0.624 0.000
0.174 0.674 0.500
0.326 0.174 0.500
0.674 0.826 0.500
0.826 0.326 0.500
```

Properties
relative energy among the computed polymorphs	0.088	eV/atom
raw formation energy	-0.574	eV per atom
total moment	0.0	μB per formula unit
calculated volume	283	Å³/cell

=====

The following is a DFT calculation (GGA-PBE) of an optimized crystal structure of SeBr.

POSCAR file:
```
SeBr
1.0
5.699 0.000 0.000
-2.850 4.935 0.000
0.000 0.000 8.633
Se Br
4 4
direct
0.333 0.667 0.122
0.333 0.667 0.378
0.667 0.333 0.622
0.667 0.333 0.878
0.000 0.000 0.250
0.000 0.000 0.750
0.333 0.667 0.750
0.667 0.333 0.250
```

Properties
raw formation energy	0.541	eV per atom
total moment	0.0	μB per formula unit
calculated volume	243	Å³/cell

=====

The following is a DFT calculation (GGA-PBE) of an optimized crystal structure of CaLaCo2.

POSCAR file:
```
CaLaCo2
1.0
3.460 0.000 0.000
0.000 3.476 0.000
-0.019 0.000 6.914
Ca La Co
1 1 2
direct
0.000 0.000 0.000
0.000 0.000 0.500
0.499 0.500 0.721
0.501 0.500 0.279
```

Properties
calculated total energy	-5.074	eV/atom
total moment	1.3	μB per formula unit
calculated volume	83	Å³/cell

=====

Question: Among the records above, which one has the highest total moment?
Answer: CaLaCo2